# 1
DFT (GGA-PBE) results for CsNdMo after structural relaxation.

Lattice parameters (Å, degrees): 7.3180 7.3180 7.3180 90.00 90.00 90.00
Space group F-43m (No. 216)
Inequivalent atoms, fractional coordinates:
Cs  0.0000  0.0000  0.0000 [4 per cell]
Nd  0.2500  0.2500  0.7500 [4 per cell]
Mo  0.2500  0.2500  0.2500 [4 per cell]

Values from the calculation:
Total magnetization in Bohr magnetons per cell: 10.59
Offset from the most stable computed form in meV per atom: 348
Calculated density in Mg/m³: 6.3
Total energy in eV per cell: -41.26

=====

# 2
DFT (GGA-PBE) results for Tc2BiW after structural relaxation.

Lattice parameters (Å, degrees): 6.5086 6.5086 6.5086 90.00 90.00 90.00
Space group F-43m (No. 216)
Inequivalent atoms, fractional coordinates:
Tc  0.0000  0.0000  0.0000 [4 per cell]
Tc  0.2500  0.2500  0.2500 [4 per cell]
Bi  0.0000  0.0000  0.5000 [4 per cell]
W  0.2500  0.2500  0.7500 [4 per cell]

Values from the calculation:
Total magnetization in Bohr magnetons per cell: 6.47
Calculated density in Mg/m³: 14.2
Total energy in eV per cell: -138.09

=====

# 3
DFT (GGA-PBE) results for LiPaCd after structural relaxation.

Lattice parameters (Å, degrees): 6.5403 6.5403 6.5403 90.00 90.00 90.00
Space group F-43m (No. 216)
Inequivalent atoms, fractional coordinates:
Li  0.0000  0.0000  0.0000 [4 per cell]
Pa  0.2500  0.2500  0.2500 [4 per cell]
Cd  0.2500  0.2500  0.7500 [4 per cell]

Values from the calculation:
Total magnetization in Bohr magnetons per cell: 0.08
Calculated density in Mg/m³: 8.3
Total energy in eV per cell: -40.47

=====

# 4
DFT (GGA-PBE) results for AcTlCd after structural relaxation.

Lattice parameters (Å, degrees): 7.6866 7.6866 7.6866 90.00 90.00 90.00
Space group F-43m (No. 216)
Inequivalent atoms, fractional coordinates:
Ac  0.0000  0.0000  0.0000 [4 per cell]
Tl  0.2500  0.2500  0.2500 [4 per cell]
Cd  0.2500  0.2500  0.7500 [4 per cell]

Values from the calculation:
Total magnetization in Bohr magnetons per cell: 0.02
Offset from the most stable computed form in meV per atom: 412
Calculated density in Mg/m³: 8.0
Total energy in eV per cell: -28.73

=====

Question: Which of these has the highest calculated density?
Answer: Tc2BiW

=====

Question: Which value of total energy does entry 4 give?
Answer: -28.73 eV per cell